(1)
Material: Cd2TcCl
Method: DFT, PBE-GGA
State: relaxed

a = 2.8432 Å, b = 4.1874 Å, c = 14.0109 Å
α = 90.00°, β = 90.00°, γ = 90.00°
Space group Immm (No. 71)
Asymmetric unit:
Cd 0.0000 0.0000 0.1840 x4
Tc 0.0000 0.5000 0.5000 x2
Cl 0.0000 0.5000 0.0000 x2

As for the offset from the most stable computed form: 233.9 meV/atom.

(2)
Material: LaTh2RhN4
Method: DFT, PBE-GGA
State: relaxed

a = 3.5271 Å, b = 12.2250 Å, c = 12.1138 Å
α = 90.00°, β = 90.00°, γ = 90.00°
Space group Cmcm (No. 63)
Asymmetric unit:
La 0.0000 0.1094 0.2500 x4
Th 0.0000 0.3696 0.0559 x8
Rh 0.0000 0.1517 0.7500 x4
N 0.0000 0.0000 0.0000 x4
N 0.0000 0.2733 0.6171 x8
N 0.0000 0.4550 0.2500 x4

(3)
Material: SnRu4
Method: DFT, PBE-GGA
State: relaxed

a = 4.7920 Å, b = 4.7920 Å, c = 4.7920 Å
α = 90.00°, β = 90.00°, γ = 90.00°
Space group Pm-3m (No. 221)
Asymmetric unit:
Sn 0.0000 0.0000 0.0000 x1
Ru 0.0000 0.0000 0.5000 x3
Ru 0.5000 0.5000 0.5000 x1

The formation energy is 2247 meV/atom.

(4)
Material: Ti3Ge2Rh2
Method: DFT, PBE-GGA
State: relaxed

a = 2.9191 Å, b = 4.2117 Å, c = 17.7775 Å
α = 90.00°, β = 90.00°, γ = 90.00°
Space group Immm (No. 71)
Asymmetric unit:
Ti 0.0000 0.0000 0.0000 x2
Ti 0.0000 0.5000 0.2040 x4
Ge 0.0000 0.0000 0.4288 x4
Rh 0.0000 0.5000 0.3446 x4

The formation energy is -596 meV/atom.

no.,final energy (eV/atom),magnetization (μB/f.u.)
1,-3.157,0.528
2,-8.692,0.005
3,-5.974,6.813
4,-7.400,0.000